The following is a DFT calculation (PBE) of LiTbRh after structural relaxation.

Lattice parameters (Å, degrees): 3.979 7.036 12.288 90.22 90.00 90.00
Positions (direct):
Li 0.250 0.009 0.083
Li 0.250 0.873 0.464
Li 0.750 0.627 0.804
Li 0.750 0.127 0.536
Li 0.250 0.373 0.196
Li 0.750 0.991 0.917
Tb 0.750 0.546 0.378
Tb 0.250 0.947 0.716
Tb 0.750 0.053 0.284
Tb 0.750 0.662 0.083
Tb 0.250 0.454 0.622
Tb 0.250 0.338 0.917
Rh 0.250 0.745 0.923
Rh 0.750 0.243 0.749
Rh 0.750 0.740 0.590
Rh 0.750 0.255 0.077
Rh 0.250 0.260 0.410
Rh 0.250 0.757 0.251

As for the energy above the most stable polymorph in this dataset: 0 meV per atom. The value obtained for the formation energy is -0.527 eV/atom. For the total energy, the calculation gives -5.158 eV/atom.